## SnHg6P4Cl6 (GGA-PBEsol)

Data for SnHg6P4Cl6 after structural relaxation.

Results
Space group: No. 198
Total magnetization: 0.00 μB per formula unit
Final energy: -202.97 eV/cell

Lattice parameters (Å, degrees): 11.865 11.865 11.865 90.00 90.00 90.00
Positions (direct):
1 Sn 0.223 0.223 0.223
2 Sn 0.277 0.777 0.723
3 Sn 0.723 0.277 0.777
4 Sn 0.777 0.723 0.277
5 Hg 0.015 0.239 0.528
6 Hg 0.022 0.737 0.465
7 Hg 0.028 0.485 0.761
8 Hg 0.035 0.978 0.237
9 Hg 0.237 0.035 0.978
10 Hg 0.239 0.528 0.015
11 Hg 0.261 0.472 0.515
12 Hg 0.263 0.965 0.478
13 Hg 0.465 0.022 0.737
14 Hg 0.472 0.515 0.261
15 Hg 0.478 0.263 0.965
16 Hg 0.485 0.761 0.028
17 Hg 0.515 0.261 0.472
18 Hg 0.522 0.763 0.535
19 Hg 0.528 0.015 0.239
20 Hg 0.535 0.522 0.763
21 Hg 0.737 0.465 0.022
22 Hg 0.739 0.972 0.985
23 Hg 0.761 0.028 0.485
24 Hg 0.763 0.535 0.522
25 Hg 0.965 0.478 0.263
26 Hg 0.972 0.985 0.739
27 Hg 0.978 0.237 0.035
28 Hg 0.985 0.739 0.972
29 P 0.042 0.042 0.042
30 P 0.043 0.543 0.957
31 P 0.063 0.937 0.437
32 P 0.065 0.435 0.565
33 P 0.435 0.565 0.065
34 P 0.437 0.063 0.937
35 P 0.457 0.457 0.457
36 P 0.458 0.958 0.542
37 P 0.542 0.458 0.958
38 P 0.543 0.957 0.043
39 P 0.563 0.563 0.563
40 P 0.565 0.065 0.435
41 P 0.935 0.935 0.935
42 P 0.937 0.437 0.063
43 P 0.957 0.043 0.543
44 P 0.958 0.542 0.458
45 Cl 0.026 0.736 0.203
46 Cl 0.058 0.743 0.708
47 Cl 0.203 0.026 0.736
48 Cl 0.208 0.442 0.257
49 Cl 0.236 0.297 0.974
50 Cl 0.243 0.792 0.942
51 Cl 0.257 0.208 0.442
52 Cl 0.264 0.703 0.474
53 Cl 0.292 0.558 0.757
54 Cl 0.297 0.974 0.236
55 Cl 0.442 0.257 0.208
56 Cl 0.474 0.264 0.703
57 Cl 0.526 0.764 0.797
58 Cl 0.558 0.757 0.292
59 Cl 0.703 0.474 0.264
60 Cl 0.708 0.058 0.743
61 Cl 0.736 0.203 0.026
62 Cl 0.743 0.708 0.058
63 Cl 0.757 0.292 0.558
64 Cl 0.764 0.797 0.526
65 Cl 0.792 0.942 0.243
66 Cl 0.797 0.526 0.764
67 Cl 0.942 0.243 0.792
68 Cl 0.974 0.236 0.297

---

## Co24Re5 (GGA-PBEsol)

Data for Co24Re5 after structural relaxation.

Results
Formation enthalpy at 0 K: 0.046 eV per atom
Space group: No. 217
Total magnetization: 31.83 μB per formula unit
Final energy: -251.02 eV/cell

Lattice parameters (Å, degrees): 7.445 7.445 7.445 109.47 109.47 109.47
Positions (direct):
1 Co 0.000 0.320 0.601
2 Co 0.000 0.601 0.320
3 Co 0.000 0.624 0.808
4 Co 0.000 0.808 0.624
5 Co 0.184 0.376 0.376
6 Co 0.192 0.192 0.816
7 Co 0.192 0.816 0.192
8 Co 0.281 0.680 0.680
9 Co 0.320 0.000 0.601
10 Co 0.320 0.601 0.000
11 Co 0.376 0.184 0.376
12 Co 0.376 0.376 0.184
13 Co 0.399 0.399 0.719
14 Co 0.399 0.719 0.399
15 Co 0.601 0.000 0.320
16 Co 0.601 0.320 0.000
17 Co 0.624 0.000 0.808
18 Co 0.624 0.808 0.000
19 Co 0.680 0.281 0.680
20 Co 0.680 0.680 0.281
21 Co 0.719 0.399 0.399
22 Co 0.808 0.000 0.624
23 Co 0.808 0.624 0.000
24 Co 0.816 0.192 0.192
25 Re 0.000 0.000 0.000
26 Re 0.000 0.000 0.359
27 Re 0.000 0.359 0.000
28 Re 0.359 0.000 0.000
29 Re 0.641 0.641 0.641